Compound: BiSBr3
Source: the Alexandria database
Functional: PBE
Structure: optimized geometry

Cell and atoms, written as POSCAR:
```
BiSBr3
1.0
-3.337 -4.421 1.469
4.615 -3.384 0.300
0.636 1.358 5.531
Br S Bi
3 1 1
Direct
0.000 0.000 0.500
0.500 0.000 0.000
0.000 0.500 0.000
0.500 0.500 0.500
0.000 0.000 0.000
```

Size of the total moment: 2.01 μB/cell
Distance to the lowest polymorph of the same formula: 0.000 eV/atom
Mass density: 4.24 g/cm³